Record 1
Material: CuRhO2F
Method: DFT, GGA-PBE
State: optimized geometry

Geometry as extended XYZ:
```
5
Lattice="3.8555 0.0000 0.0000 0.0000 3.8555 0.0000 0.0000 0.0000 4.2085" Properties=species:S:1:pos:R:3 pbc="T T T"
Cu 0.0000 0.0000 0.0000
Rh 1.9278 1.9278 2.1042
O 0.0000 1.9278 2.1042
O 1.9278 0.0000 2.1042
F 1.9278 1.9278 0.0000
```

D(E_F): 5.9 states/eV/f.u.
Energy relative to the elements, uncorrected: -1.36 eV per formula unit
Calculated volume: 12.51 A^3/atom



Record 2
Material: Fe3PdBr9
Method: DFT, GGA-PBE
State: optimized geometry

Geometry as extended XYZ:
```
26
Lattice="8.8610 -4.8607 0.0000 8.8610 4.8607 0.0000 -8.2874 0.0000 10.1287" Properties=species:S:1:pos:R:3 pbc="T T T"
Fe 4.7173 4.3875 5.0643
Fe 2.3094 1.0978 6.6362
Fe 7.4409 1.3244 4.6715
Fe 6.4531 -1.0978 1.5719
Fe 3.2973 -1.3244 9.7358
Fe 8.8610 -4.3875 0.0000
Pd -1.6487 1.8795 7.9717
Pd 2.4950 -1.8795 2.9073
Br 0.1809 3.5745 8.5634
Br 2.5800 3.3295 5.6255
Br -3.4668 0.2697 7.2181
Br 0.6769 -0.2697 2.1538
Br 6.0258 2.9658 3.5336
Br -0.0270 0.6666 6.4456
Br 4.1167 -0.6666 1.3813
Br 7.6830 0.4527 0.3982
Br 3.0627 1.0193 8.9721
Br 3.5393 -0.4527 5.4625
Br 6.8190 1.3976 6.8769
Br 9.7580 1.8168 4.5035
Br 7.2064 -1.0193 3.9078
Br 6.7237 -3.3295 0.5611
Br 4.3246 -3.5745 3.4990
Br 1.8822 -2.9658 8.5980
Br 10.9627 -1.3976 1.8126
Br 5.6143 -1.8168 9.5678
```

D(E_F): 6.2 states/eV/f.u.
Energy relative to the elements, uncorrected: -4.88 eV per formula unit
Calculated volume: 33.56 A^3/atom



Record 3
Material: TaNbAl2Co
Method: DFT, GGA-PBE
State: optimized geometry

Geometry as extended XYZ:
```
5
Lattice="4.9248 0.0000 0.0000 0.0000 4.9248 0.0000 0.0000 0.0000 4.7831" Properties=species:S:1:pos:R:3 pbc="T T T"
Ta 0.0000 0.0000 0.0000
Nb 0.0000 0.0000 2.3916
Al 0.0000 2.4624 0.0000
Al 2.4624 0.0000 0.0000
Co 2.4624 2.4624 2.3916
```

D(E_F): 6.8 states/eV/f.u.
Calculated volume: 23.20 A^3/atom
ΔH_f (0 K): 1480 meV per atom



Record 4
Material: BeIr2Rh
Method: DFT, GGA-PBE
State: optimized geometry

Geometry as extended XYZ:
```
4
Lattice="-1.4017 2.1489 4.2610 1.4017 -2.1489 4.2610 1.4017 2.1489 -4.2610" Properties=species:S:1:pos:R:3 pbc="T T T"
Be 0.0000 0.0000 0.0000
Ir 1.4017 0.0000 1.8574
Ir 0.0000 0.0000 4.2472
Rh 0.0000 2.1489 2.4231
```

D(E_F): 3.4 states/eV/f.u.
Calculated volume: 12.83 A^3/atom
ΔH_f (0 K): -161 meV per atom



Record 5
Material: BaZrTl2Cr
Method: DFT, GGA-PBE
State: optimized geometry

Geometry as extended XYZ:
```
5
Lattice="6.1661 0.0000 0.0000 0.0000 6.1661 0.0000 0.0000 0.0000 5.6155" Properties=species:S:1:pos:R:3 pbc="T T T"
Ba 0.0000 0.0000 0.0000
Zr 0.0000 0.0000 2.8078
Tl 0.0000 3.0831 0.0000
Tl 3.0831 0.0000 0.0000
Cr 3.0831 3.0831 2.8078
```

D(E_F): 7.1 states/eV/f.u.
Calculated volume: 42.70 A^3/atom
ΔH_f (0 K): 1683 meV per atom



Record 6
Material: NaAgTe2S4
Method: DFT, GGA-PBE
State: optimized geometry

Geometry as extended XYZ:
```
8
Lattice="-3.6121 3.6121 3.6010 3.6121 -3.6121 3.6010 3.6121 3.6121 -3.6010" Properties=species:S:1:pos:R:3 pbc="T T T"
Na 0.0000 0.0000 0.0000
Ag 0.0000 0.0000 3.6010
Te 3.6121 0.0000 1.8005
Te 0.0000 3.6121 1.8005
S 1.4203 -1.4203 2.0148
S -1.4203 1.4203 2.0148
S 2.1918 2.1918 1.5862
S 1.4203 1.4203 5.1872
```

D(E_F): 3.6 states/eV/f.u.
Energy relative to the elements, uncorrected: -0.83 eV per formula unit
Calculated volume: 23.49 A^3/atom



Record 7
Material: Li3Ac2ErSn4
Method: DFT, GGA-PBE
State: optimized geometry

Geometry as extended XYZ:
```
10
Lattice="4.7197 0.0000 0.0000 0.0000 4.7197 0.0000 0.0000 0.0000 12.0817" Properties=species:S:1:pos:R:3 pbc="T T T"
Li 0.0000 0.0000 0.0000
Li 0.0000 2.3598 7.5391
Li 2.3598 0.0000 4.5426
Ac 0.0000 2.3598 3.2654
Ac 2.3598 0.0000 8.8162
Er 2.3598 2.3598 0.0000
Sn 0.0000 0.0000 6.0408
Sn 0.0000 2.3598 10.2322
Sn 2.3598 0.0000 1.8494
Sn 2.3598 2.3598 6.0408
```

D(E_F): 2.2 states/eV/f.u.
Calculated volume: 26.91 A^3/atom
ΔH_f (0 K): -607 meV per atom



Record 8
Material: La2InS4
Method: DFT, GGA-PBE
State: optimized geometry

Geometry as extended XYZ:
```
7
Lattice="-2.4801 2.4801 7.3988 2.4801 -2.4801 7.3988 2.4801 2.4801 -7.3988" Properties=species:S:1:pos:R:3 pbc="T T T"
La 0.0000 0.0000 1.9645
La 0.0000 0.0000 12.8330
In 0.0000 0.0000 7.3988
S 2.4801 0.0000 0.0000
S 0.0000 0.0000 4.6662
S 0.0000 2.4801 0.0000
S 0.0000 0.0000 10.1313
```

D(E_F): 4.1 states/eV/f.u.
Energy relative to the elements, uncorrected: -9.54 eV per formula unit
Offset from the most stable computed form: 191 meV per atom
Calculated volume: 26.01 A^3/atom



Record 9
Material: Pm2Sm7Er3
Method: DFT, GGA-PBE
State: optimized geometry

Geometry as extended XYZ:
```
12
Lattice="6.4338 0.0000 0.0000 0.0000 3.5738 0.0000 -0.0331 0.0000 17.3837" Properties=species:S:1:pos:R:3 pbc="T T T"
Pm 0.0663 0.0000 5.7054
Pm 6.3344 0.0000 11.6783
Sm 1.1369 1.7869 2.8595
Sm 1.6479 0.0000 8.7558
Sm 2.0705 0.0000 14.4531
Sm 3.2169 1.7869 0.0000
Sm 4.3301 0.0000 2.9306
Sm 4.7528 0.0000 8.6279
Sm 5.2638 1.7869 14.5242
Er 0.0000 0.0000 0.0000
Er 3.1902 1.7869 11.4423
Er 3.2105 1.7869 5.9414
```

D(E_F): 17.2 states/eV/f.u.
Offset from the most stable computed form: 0 meV per atom
Calculated volume: 33.31 A^3/atom
ΔH_f (0 K): 68 meV per atom



Record 10
Material: BeTeOsN2
Method: DFT, GGA-PBE
State: optimized geometry

Geometry as extended XYZ:
```
5
Lattice="3.7732 0.0000 0.0000 0.0000 3.7732 0.0000 0.0000 0.0000 5.8194" Properties=species:S:1:pos:R:3 pbc="T T T"
Be 0.0000 0.0000 0.0000
Te 1.8866 1.8866 0.0000
Os 1.8866 1.8866 2.9097
N 0.0000 1.8866 2.9097
N 1.8866 0.0000 2.9097
```

D(E_F): 3.3 states/eV/f.u.
Energy relative to the elements, uncorrected: 3.67 eV per formula unit
Offset from the most stable computed form: 0 meV per atom
Calculated volume: 16.57 A^3/atom



Record 11
Material: AcDyScAg
Method: DFT, GGA-PBE
State: optimized geometry

Geometry as extended XYZ:
```
4
Lattice="0.0000 3.8349 3.8349 3.8349 0.0000 3.8349 3.8349 3.8349 0.0000" Properties=species:S:1:pos:R:3 pbc="T T T"
Ac 0.0000 0.0000 0.0000
Dy 5.7524 5.7524 5.7524
Sc 1.9175 1.9175 1.9175
Ag 3.8349 3.8349 3.8349
```

D(E_F): 7.2 states/eV/f.u.
Calculated volume: 28.20 A^3/atom
ΔH_f (0 K): 207 meV per atom



Record 12
Material: TaMo
Method: DFT, GGA-PBE
State: optimized geometry

Geometry as extended XYZ:
```
8
Lattice="2.7945 -9.0984 0.0000 2.7945 9.0984 0.0000 -0.9566 0.0000 2.6585" Properties=species:S:1:pos:R:3 pbc="T T T"
Ta 2.7945 6.7477 0.0000
Ta 0.9212 0.0000 1.3723
Ta 3.7112 0.0000 1.2862
Ta 2.7945 -6.7477 0.0000
Mo 0.9189 4.5492 1.3292
Mo 2.7945 2.3207 0.0000
Mo 0.9189 -4.5492 1.3292
Mo 2.7945 -2.3207 0.0000
```

D(E_F): 1.2 states/eV/f.u.
Calculated volume: 16.90 A^3/atom
ΔH_f (0 K): -100 meV per atom



> The lowest calculated volume belongs to which entry?

CuRhO2F